No. 1
Density functional theory data (PBE-GGA) for an optimized crystal structure of Co2CuMo.

abc: 6.423 6.423 5.170
angles: 90.00 90.00 90.00
Space group I-42d (No. 122)
Unique sites:
Co 0.236 0.250 0.125 (multiplicity 8)
Cu 0.000 0.000 0.500 (multiplicity 4)
Mo 0.000 0.000 0.000 (multiplicity 4)

Properties
Polymorph energy (0 for the lowest one): 528 meV/atom
DFT formation energy: 602.9 meV per atom
Calculated density: 8.64 g/cm3
Crystal system: tetragonal
Magnetization: 0.00 μB/f.u.
Uncorrected energy: -6.68 eV/atom



No. 2
Density functional theory data (PBE-GGA) for an optimized crystal structure of Co2CuMo.

abc: 5.792 5.792 5.792
angles: 90.00 90.00 90.00
Space group Fm-3m (No. 225)
Unique sites:
Co 0.250 0.250 0.250 (multiplicity 8)
Cu 0.000 0.000 0.000 (multiplicity 4)
Mo 0.000 0.000 0.500 (multiplicity 4)

Properties
Polymorph energy (0 for the lowest one): 62 meV/atom
DFT formation energy: 137.1 meV per atom
Calculated density: 9.48 g/cm3
Crystal system: cubic
Magnetization: 1.00 μB/f.u.
Uncorrected energy: -7.15 eV/atom



No. 3
Density functional theory data (PBE-GGA) for an optimized crystal structure of Co2CuMo.

abc: 2.601 2.601 7.359
angles: 90.00 90.00 90.00
Space group P4mm (No. 99)
Unique sites:
Co 0.000 0.000 0.000 (multiplicity 1)
Co 0.500 0.500 0.211 (multiplicity 1)
Cu 0.000 0.000 0.454 (multiplicity 1)
Mo 0.500 0.500 0.731 (multiplicity 1)

Properties
Polymorph energy (0 for the lowest one): 70 meV/atom
DFT formation energy: 145.2 meV per atom
Calculated density: 9.25 g/cm3
Crystal system: tetragonal
Magnetization: 2.89 μB/f.u.
Uncorrected energy: -7.14 eV/atom



No. 4
Density functional theory data (PBE-GGA) for an optimized crystal structure of Co2CuMo.

abc: 2.6208 2.6208 25.2619
angles: 90.00 90.00 120.00
Space group R-3m (No. 166, hexagonal axes)
Unique sites:
Co 0.0000 0.0000 0.2483 (multiplicity 6)
Cu 0.0000 0.0000 0.5000 (multiplicity 3)
Mo 0.0000 0.0000 0.0000 (multiplicity 3)

Properties
Polymorph energy (0 for the lowest one): 147 meV/atom
DFT formation energy: 221.8 meV per atom
Calculated density: 9.19 g/cm3
Crystal system: trigonal
Magnetization: 1.86 μB/f.u.
Uncorrected energy: -7.06 eV/atom



No. 5
Density functional theory data (PBE-GGA) for an optimized crystal structure of Co2CuMo.

abc: 5.275 5.285 6.890
angles: 90.00 90.00 90.00
Space group Fmmm (No. 69)
Unique sites:
Co 0.250 0.250 0.250 (multiplicity 8)
Cu 0.000 0.000 0.000 (multiplicity 4)
Mo 0.000 0.000 0.500 (multiplicity 4)

Properties
Polymorph energy (0 for the lowest one): 0 meV/atom
DFT formation energy: 74.8 meV per atom
Calculated density: 9.59 g/cm3
Crystal system: orthorhombic
Magnetization: 0.00 μB/f.u.
Uncorrected energy: -7.21 eV/atom



No. 6
Density functional theory data (PBE-GGA) for an optimized crystal structure of CoCuMo2.

abc: 3.735 3.749 7.736
angles: 90.00 90.00 90.00
Space group Cmmm (No. 65)
Unique sites:
Co 0.000 0.000 0.000 (multiplicity 2)
Cu 0.000 0.000 0.500 (multiplicity 2)
Mo 0.000 0.500 0.239 (multiplicity 4)

Properties
Polymorph energy (0 for the lowest one): 32 meV/atom
DFT formation energy: 167.9 meV per atom
Calculated density: 9.64 g/cm3
Crystal system: orthorhombic
Magnetization: 0.02 μB/f.u.
Uncorrected energy: -8.05 eV/atom



No. 7
Density functional theory data (PBE-GGA) for an optimized crystal structure of Co2CuMo.

abc: 3.756 3.756 3.419
angles: 90.00 90.00 90.00
Space group P4/mmm (No. 123)
Unique sites:
Co 0.000 0.500 0.000 (multiplicity 2)
Cu 0.000 0.000 0.500 (multiplicity 1)
Mo 0.500 0.500 0.500 (multiplicity 1)

Properties
Polymorph energy (0 for the lowest one): 112 meV/atom
DFT formation energy: 186.9 meV per atom
Calculated density: 9.55 g/cm3
Crystal system: tetragonal
Magnetization: 0.00 μB/f.u.
Uncorrected energy: -7.10 eV/atom



No. 8
Density functional theory data (PBE-GGA) for an optimized crystal structure of CoCuMo4.

abc: 7.258 7.258 7.258
angles: 90.00 90.00 90.00
Space group F-43m (No. 216)
Unique sites:
Co 0.000 0.000 0.000 (multiplicity 4)
Cu 0.250 0.250 0.750 (multiplicity 4)
Mo 0.125 0.125 0.375 (multiplicity 16)

Properties
DFT formation energy: 623.0 meV per atom
Calculated density: 8.79 g/cm3
Crystal system: cubic
Magnetization: 1.22 μB/f.u.
Uncorrected energy: -8.46 eV/atom



No. 9
Density functional theory data (PBE-GGA) for an optimized crystal structure of Co2CuMo.

abc: 2.6170 2.6170 25.5546
angles: 90.00 90.00 120.00
Space group R3m (No. 160, hexagonal axes)
Unique sites:
Co 0.0000 0.0000 0.0000 (multiplicity 3)
Co 0.0000 0.0000 0.2577 (multiplicity 3)
Cu 0.0000 0.0000 0.5097 (multiplicity 3)
Mo 0.0000 0.0000 0.7523 (multiplicity 3)

Properties
Polymorph energy (0 for the lowest one): 155 meV/atom
DFT formation energy: 229.9 meV per atom
Calculated density: 9.12 g/cm3
Crystal system: trigonal
Magnetization: 2.69 μB/f.u.
Uncorrected energy: -7.05 eV/atom



No. 10
Density functional theory data (PBE-GGA) for an optimized crystal structure of Co2CuMo.

abc: 3.538 3.538 7.677
angles: 90.00 90.00 90.00
Space group I-4m2 (No. 119)
Unique sites:
Co 0.000 0.000 0.000 (multiplicity 2)
Co 0.000 0.500 0.250 (multiplicity 2)
Cu 0.000 0.000 0.500 (multiplicity 2)
Mo 0.000 0.500 0.750 (multiplicity 2)

Properties
Polymorph energy (0 for the lowest one): 62 meV/atom
DFT formation energy: 137.2 meV per atom
Calculated density: 9.58 g/cm3
Crystal system: tetragonal
Magnetization: 0.00 μB/f.u.
Uncorrected energy: -7.15 eV/atom



No. 11
Density functional theory data (PBE-GGA) for an optimized crystal structure of Co2CuMo.

abc: 8.754 2.609 4.404
angles: 90.00 102.14 90.00
Space group Cm (No. 8)
Unique sites:
Co 0.000 0.000 0.000 (multiplicity 2)
Co 0.227 0.500 0.268 (multiplicity 2)
Cu 0.247 0.000 0.783 (multiplicity 2)
Mo 0.483 0.000 0.489 (multiplicity 2)

Properties
Polymorph energy (0 for the lowest one): 111 meV/atom
DFT formation energy: 185.8 meV per atom
Calculated density: 9.37 g/cm3
Crystal system: monoclinic
Magnetization: 1.45 μB/f.u.
Uncorrected energy: -7.10 eV/atom



No. 12
Density functional theory data (PBE-GGA) for an optimized crystal structure of CoCuMo2.

abc: 3.167 3.167 5.507
angles: 90.00 90.00 90.00
Space group P4mm (No. 99)
Unique sites:
Co 0.000 0.000 0.000 (multiplicity 1)
Cu 0.500 0.500 0.217 (multiplicity 1)
Mo 0.000 0.000 0.476 (multiplicity 1)
Mo 0.500 0.500 0.741 (multiplicity 1)

Properties
Polymorph energy (0 for the lowest one): 83 meV/atom
DFT formation energy: 219.4 meV per atom
Calculated density: 9.45 g/cm3
Crystal system: tetragonal
Magnetization: 1.34 μB/f.u.
Uncorrected energy: -8.00 eV/atom



No. 13
Density functional theory data (PBE-GGA) for an optimized crystal structure of CoCuMo2.

abc: 6.834 6.834 5.021
angles: 90.00 90.00 90.00
Space group I-42d (No. 122)
Unique sites:
Co 0.000 0.000 0.000 (multiplicity 4)
Cu 0.000 0.000 0.500 (multiplicity 4)
Mo 0.215 0.750 0.125 (multiplicity 8)

Properties
Polymorph energy (0 for the lowest one): 464 meV/atom
DFT formation energy: 600.5 meV per atom
Calculated density: 8.90 g/cm3
Crystal system: tetragonal
Magnetization: 0.00 μB/f.u.
Uncorrected energy: -7.62 eV/atom



No. 14
Density functional theory data (PBE-GGA) for an optimized crystal structure of CoCuMo2.

abc: 8.791 2.643 4.736
angles: 90.00 98.43 90.00
Space group Cm (No. 8)
Unique sites:
Co 0.000 0.000 0.000 (multiplicity 2)
Cu 0.243 0.500 0.249 (multiplicity 2)
Mo 0.260 0.000 0.773 (multiplicity 2)
Mo 0.494 0.000 0.479 (multiplicity 2)

Properties
Polymorph energy (0 for the lowest one): 78 meV/atom
DFT formation energy: 214.1 meV per atom
Calculated density: 9.59 g/cm3
Crystal system: monoclinic
Magnetization: 0.00 μB/f.u.
Uncorrected energy: -8.00 eV/atom



No. 15
Density functional theory data (PBE-GGA) for an optimized crystal structure of CoCuMo2.

abc: 6.039 6.039 6.039
angles: 90.00 90.00 90.00
Space group Fm-3m (No. 225)
Unique sites:
Co 0.000 0.000 0.000 (multiplicity 4)
Cu 0.000 0.000 0.500 (multiplicity 4)
Mo 0.250 0.250 0.250 (multiplicity 8)

Properties
Polymorph energy (0 for the lowest one): 258 meV/atom
DFT formation energy: 394.0 meV per atom
Calculated density: 9.48 g/cm3
Crystal system: cubic
Magnetization: 1.71 μB/f.u.
Uncorrected energy: -7.82 eV/atom



No. 16
Density functional theory data (PBE-GGA) for an optimized crystal structure of CoCuMo2.

abc: 2.6820 2.6820 26.7183
angles: 90.00 90.00 120.00
Space group R-3m (No. 166, hexagonal axes)
Unique sites:
Co 0.0000 0.0000 0.0000 (multiplicity 3)
Cu 0.0000 0.0000 0.5000 (multiplicity 3)
Mo 0.0000 0.0000 0.2529 (multiplicity 6)

Properties
Polymorph energy (0 for the lowest one): 153 meV/atom
DFT formation energy: 289.2 meV per atom
Calculated density: 9.41 g/cm3
Crystal system: trigonal
Magnetization: 0.99 μB/f.u.
Uncorrected energy: -7.93 eV/atom



No. 17
Density functional theory data (PBE-GGA) for an optimized crystal structure of CoCuMo2.

abc: 3.775 3.775 7.712
angles: 90.00 90.00 90.00
Space group I-4m2 (No. 119)
Unique sites:
Co 0.000 0.000 0.000 (multiplicity 2)
Cu 0.000 0.500 0.750 (multiplicity 2)
Mo 0.000 0.000 0.500 (multiplicity 2)
Mo 0.000 0.500 0.250 (multiplicity 2)

Properties
Polymorph energy (0 for the lowest one): 125 meV/atom
DFT formation energy: 261.3 meV per atom
Calculated density: 9.50 g/cm3
Crystal system: tetragonal
Magnetization: 1.60 μB/f.u.
Uncorrected energy: -7.95 eV/atom



No. 18
Density functional theory data (PBE-GGA) for an optimized crystal structure of Co2CuMo.

abc: 5.302 7.090 2.612
angles: 90.00 90.00 90.00
Space group Cmmm (No. 65)
Unique sites:
Co 0.250 0.250 0.000 (multiplicity 4)
Cu 0.000 0.000 0.500 (multiplicity 2)
Mo 0.000 0.500 0.500 (multiplicity 2)

Properties
Polymorph energy (0 for the lowest one): 156 meV/atom
DFT formation energy: 230.9 meV per atom
Calculated density: 9.38 g/cm3
Crystal system: orthorhombic
Magnetization: 1.13 μB/f.u.
Uncorrected energy: -7.05 eV/atom



No. 19
Density functional theory data (PBE-GGA) for an optimized crystal structure of CoCuMo2.

abc: 2.645 3.830 5.314
angles: 90.00 90.00 90.00
Space group Pmmm (No. 47)
Unique sites:
Co 0.000 0.000 0.000 (multiplicity 1)
Cu 0.000 0.000 0.500 (multiplicity 1)
Mo 0.500 0.500 0.245 (multiplicity 2)

Properties
Polymorph energy (0 for the lowest one): 11 meV/atom
DFT formation energy: 147.0 meV per atom
Calculated density: 9.70 g/cm3
Crystal system: orthorhombic
Magnetization: 0.00 μB/f.u.
Uncorrected energy: -8.07 eV/atom



No. 20
Density functional theory data (PBE-GGA) for an optimized crystal structure of CoCuMo2.

abc: 3.740 3.740 7.778
angles: 90.00 90.00 90.00
Space group I4/mmm (No. 139)
Unique sites:
Co 0.000 0.000 0.000 (multiplicity 2)
Cu 0.000 0.000 0.500 (multiplicity 2)
Mo 0.000 0.500 0.250 (multiplicity 4)

Properties
Polymorph energy (0 for the lowest one): 62 meV/atom
DFT formation energy: 197.8 meV per atom
Calculated density: 9.59 g/cm3
Crystal system: tetragonal
Magnetization: 1.54 μB/f.u.
Uncorrected energy: -8.02 eV/atom